Entry i
# LaLuAl

A relaxed structure of LaLuAl (PBE, Alexandria).

Properties
ρ in g/cm3: 6.76

Unit cell a=7.242 b=7.242 c=7.242 alpha=151.98 beta=151.98 gamma=40.05
Fractional positions:
La1 0.000 0.000 0.000
Lu1 0.293 0.293 0.000
Al1 0.659 0.659 0.000


Entry ii
# LaLuAl

A relaxed structure of LaLuAl (PBE, Alexandria).

Properties
ρ in g/cm3: 6.67

Unit cell a=5.134 b=5.134 c=3.715 alpha=90.00 beta=90.00 gamma=120.00
Fractional positions:
La1 0.000 0.000 0.000
Lu1 0.333 0.667 0.457
Al1 0.667 0.333 0.589


Here are the energies relative to the best structure, in meV per atom: entry i 0; entry ii 79.


Entry i
# La3MgAl

A relaxed structure of La3MgAl (PBE, Alexandria).

Properties
ρ in g/cm3: 3.92

Unit cell a=5.830 b=5.830 c=5.830 alpha=90.00 beta=90.00 gamma=90.00
Fractional positions:
La1 0.000 0.000 0.500
La2 0.000 0.500 0.000
La3 0.500 0.000 0.000
Mg1 0.500 0.500 0.500
Al1 0.000 0.000 0.000


Entry ii
# La3MgAl

A relaxed structure of La3MgAl (PBE, Alexandria).

Properties
ρ in g/cm3: 5.10

Unit cell a=10.375 b=10.375 c=5.520 alpha=90.00 beta=90.00 gamma=149.12
Fractional positions:
La1 0.059 0.941 0.750
La2 0.248 0.752 0.750
La3 0.434 0.566 0.750
La4 0.566 0.434 0.250
La5 0.752 0.248 0.250
La6 0.941 0.059 0.250
Mg1 0.345 0.655 0.250
Mg2 0.655 0.345 0.750
Al1 0.156 0.844 0.250
Al2 0.844 0.156 0.750


Here are the energies relative to the best structure, in meV per atom: entry i 432; entry ii 0.


Entry i
# LaMg14Al

A relaxed structure of LaMg14Al (PBE, Alexandria).

Properties
ρ in g/cm3: 2.20

Unit cell a=10.455 b=6.545 c=6.545 alpha=58.45 beta=90.00 gamma=90.00
Fractional positions:
La1 0.000 0.000 0.000
Mg1 0.000 0.009 0.494
Mg2 0.000 0.494 0.009
Mg3 0.230 0.649 0.649
Mg4 0.254 0.155 0.653
Mg5 0.254 0.653 0.155
Mg6 0.259 0.158 0.158
Mg7 0.500 0.493 0.493
Mg8 0.500 0.495 0.984
Mg9 0.500 0.984 0.495
Mg10 0.500 0.990 0.990
Mg11 0.741 0.158 0.158
Mg12 0.746 0.155 0.653
Mg13 0.746 0.653 0.155
Mg14 0.770 0.649 0.649
Al1 0.000 0.479 0.479


Entry ii
# LaMg14Al

A relaxed structure of LaMg14Al (PBE, Alexandria).

Properties
ρ in g/cm3: 2.20

Unit cell a=6.558 b=6.558 c=10.258 alpha=90.00 beta=90.00 gamma=120.00
Fractional positions:
La1 0.000 0.000 0.000
Mg1 0.016 0.508 0.000
Mg2 0.166 0.333 0.263
Mg3 0.166 0.333 0.737
Mg4 0.166 0.834 0.263
Mg5 0.166 0.834 0.737
Mg6 0.492 0.508 0.000
Mg7 0.492 0.984 0.000
Mg8 0.505 0.010 0.500
Mg9 0.505 0.495 0.500
Mg10 0.667 0.333 0.238
Mg11 0.667 0.333 0.762
Mg12 0.667 0.834 0.263
Mg13 0.667 0.834 0.737
Mg14 0.990 0.495 0.500
Al1 0.000 0.000 0.500


Here are the energies relative to the best structure, in meV per atom: entry i 0; entry ii 31.


Entry i
# La4MgAl

A relaxed structure of La4MgAl (PBE, Alexandria).

Properties
ρ in g/cm3: 5.30

Unit cell a=6.606 b=6.606 c=7.919 alpha=107.39 beta=107.39 gamma=35.41
Fractional positions:
La1 0.148 0.148 0.334
La2 0.149 0.149 0.814
La3 0.851 0.851 0.186
La4 0.852 0.852 0.666
Mg1 0.500 0.500 0.000
Al1 0.500 0.500 0.500


Entry ii
# La4MgAl

A relaxed structure of La4MgAl (PBE, Alexandria).

Properties
ρ in g/cm3: 4.59

Unit cell a=5.133 b=5.152 c=8.309 alpha=89.96 beta=89.94 gamma=90.00
Fractional positions:
La1 0.000 0.000 0.000
La2 0.000 0.000 0.453
La3 0.500 0.500 0.452
La4 0.500 0.501 0.001
Mg1 0.000 0.500 0.727
Al1 0.500 0.001 0.227


Here are the energies relative to the best structure, in meV per atom: entry i 0; entry ii 247.